[1]
# BaCaCo2Au PBE optimized geometry
data_BaCaCo2Au
_cell_length_a 5.134
_cell_length_b 5.134
_cell_length_c 5.517
_cell_angle_alpha 90.00
_cell_angle_beta 90.00
_cell_angle_gamma 90.00
_space_group_name_H-M_alt 'P 1'
_space_group_IT_number 1
_space_group_name_Hall 'P 1'
loop_
_atom_site_label
_atom_site_fract_x
_atom_site_fract_y
_atom_site_fract_z
Ba1 0.000 0.000 0.000
Ca1 0.500 0.500 0.500
Co1 0.000 0.500 0.500
Co2 0.500 0.000 0.500
Au1 0.500 0.500 0.000
# Energy relative to the lowest polymorph listed for this composition   250.5 meV/atom
# Space-group type   No. 123
# Formation enthalpy at 0 K   0.7753 eV per atom

***

[2]
# Cs3KRb2H6 PBE optimized geometry
data_Cs3KRb2H6
_cell_length_a 9.702
_cell_length_b 9.702
_cell_length_c 8.690
_cell_angle_alpha 103.30
_cell_angle_beta 103.30
_cell_angle_gamma 25.74
_space_group_name_H-M_alt 'P 1'
_space_group_IT_number 1
_space_group_name_Hall 'P 1'
loop_
_atom_site_label
_atom_site_fract_x
_atom_site_fract_y
_atom_site_fract_z
Cs1 0.000 0.000 0.000
Cs2 0.334 0.334 0.666
Cs3 0.666 0.666 0.334
K1 0.000 0.000 0.500
Rb1 0.334 0.334 0.170
Rb2 0.666 0.666 0.830
H1 0.160 0.160 0.588
H2 0.169 0.169 0.075
H3 0.497 0.497 0.266
H4 0.503 0.503 0.734
H5 0.831 0.831 0.925
H6 0.840 0.840 0.412
# Space-group type   No. 12

***

[3]
# LaBi3Os PBE optimized geometry
data_LaBi3Os
_cell_length_a 5.391
_cell_length_b 5.391
_cell_length_c 5.391
_cell_angle_alpha 90.00
_cell_angle_beta 90.00
_cell_angle_gamma 90.00
_space_group_name_H-M_alt 'P 1'
_space_group_IT_number 1
_space_group_name_Hall 'P 1'
loop_
_atom_site_label
_atom_site_fract_x
_atom_site_fract_y
_atom_site_fract_z
La1 0.000 0.000 0.000
Bi1 0.000 0.500 0.500
Bi2 0.500 0.000 0.500
Bi3 0.500 0.500 0.000
Os1 0.500 0.500 0.500
# Energy relative to the lowest polymorph listed for this composition   0.0 meV/atom
# Space-group type   No. 221
# Formation enthalpy at 0 K   0.3662 eV per atom

***

[4]
# Na5B7C3 PBE optimized geometry
data_Na5B7C3
_cell_length_a 2.891
_cell_length_b 2.891
_cell_length_c 42.790
_cell_angle_alpha 90.00
_cell_angle_beta 90.00
_cell_angle_gamma 120.00
_space_group_name_H-M_alt 'P 1'
_space_group_IT_number 1
_space_group_name_Hall 'P 1'
loop_
_atom_site_label
_atom_site_fract_x
_atom_site_fract_y
_atom_site_fract_z
Na1 0.000 0.000 0.051
Na2 0.000 0.000 0.150
Na3 0.000 0.000 0.249
Na4 0.000 0.000 0.350
Na5 0.000 0.000 0.449
Na6 0.000 0.000 0.551
Na7 0.000 0.000 0.650
Na8 0.000 0.000 0.751
Na9 0.000 0.000 0.850
Na10 0.000 0.000 0.949
B1 0.333 0.667 0.000
B2 0.333 0.667 0.199
B3 0.333 0.667 0.299
B4 0.333 0.667 0.400
B5 0.333 0.667 0.500
B6 0.333 0.667 0.600
B7 0.333 0.667 0.701
B8 0.333 0.667 0.801
B9 0.667 0.333 0.000
B10 0.667 0.333 0.101
B11 0.667 0.333 0.299
B12 0.667 0.333 0.500
B13 0.667 0.333 0.701
B14 0.667 0.333 0.899
C1 0.333 0.667 0.101
C2 0.333 0.667 0.899
C3 0.667 0.333 0.199
C4 0.667 0.333 0.400
C5 0.667 0.333 0.600
C6 0.667 0.333 0.801
# Energy relative to the lowest polymorph listed for this composition   42.7 meV/atom
# Space-group type   No. 187
# Formation enthalpy at 0 K   0.1555 eV per atom

***

[5]
# Sm2DyEr3 PBE optimized geometry
data_Sm2DyEr3
_cell_length_a 9.026
_cell_length_b 9.026
_cell_length_c 14.121
_cell_angle_alpha 116.80
_cell_angle_beta 116.80
_cell_angle_gamma 22.30
_space_group_name_H-M_alt 'P 1'
_space_group_IT_number 1
_space_group_name_Hall 'P 1'
loop_
_atom_site_label
_atom_site_fract_x
_atom_site_fract_y
_atom_site_fract_z
Sm1 0.157 0.157 0.469
Sm2 0.320 0.320 0.118
Sm3 0.680 0.680 0.882
Sm4 0.843 0.843 0.531
Dy1 0.063 0.063 0.643
Dy2 0.937 0.937 0.357
Er1 0.098 0.098 0.026
Er2 0.238 0.238 0.292
Er3 0.461 0.461 0.790
Er4 0.539 0.539 0.210
Er5 0.762 0.762 0.708
Er6 0.902 0.902 0.974
# Energy relative to the lowest polymorph listed for this composition   0.0 meV/atom
# Space-group type   No. 12
# Formation enthalpy at 0 K   0.1198 eV per atom

***

[6]
# YFe2Tc PBE optimized geometry
data_YFe2Tc
_cell_length_a 8.961
_cell_length_b 8.961
_cell_length_c 8.961
_cell_angle_alpha 18.79
_cell_angle_beta 18.79
_cell_angle_gamma 18.79
_space_group_name_H-M_alt 'P 1'
_space_group_IT_number 1
_space_group_name_Hall 'P 1'
loop_
_atom_site_label
_atom_site_fract_x
_atom_site_fract_y
_atom_site_fract_z
Y1 0.000 0.000 0.000
Fe1 0.240 0.240 0.240
Fe2 0.760 0.760 0.760
Tc1 0.500 0.500 0.500
# Energy relative to the lowest polymorph listed for this composition   475.6 meV/atom
# Space-group type   No. 166
# Formation enthalpy at 0 K   0.5936 eV per atom

***

| no. | size of the total moment (μB/f.u.) | raw total energy (eV per atom) |
| --- | --- | --- |
| 1 | 3.05 | -3.51 |
| 2 | 0.00 | -2.31 |
| 3 | 0.00 | -5.19 |
| 4 | 0.00 | -5.25 |
| 5 | 0.00 | -4.50 |
| 6 | 4.46 | -7.85 |